(1)
{"formula": "La2MgPb", "functional": "SCAN", "state": "PBEsol geometry", "formation_energy_mev_per_atom": -483.7, "magnetic_moment_mub_per_cell": 0.00, "lattice": [[4.739, 0.000, 0.000], [0.000, 4.739, 0.000], [0.000, 0.000, 10.401]], "species": ["La", "La", "La", "La", "Mg", "Mg", "Pb", "Pb"], "frac_coords": [[0.000, 0.000, 0.000], [0.000, 0.500, 0.250], [0.500, 0.000, 0.750], [0.500, 0.500, 0.500], [0.000, 0.000, 0.500], [0.500, 0.500, 0.000], [0.000, 0.500, 0.750], [0.500, 0.000, 0.250]]}

(2)
{"formula": "Rb3SmF6", "functional": "SCAN", "state": "PBEsol geometry", "magnetic_moment_mub_per_cell": 0.00, "energy_ev_per_atom": -16.160, "lattice": [[-3.573, 3.573, 4.786], [3.573, -3.573, 4.786], [3.573, 3.573, -4.786]], "species": ["Rb", "Rb", "Rb", "Sm", "F", "F", "F", "F", "F", "F"], "frac_coords": [[0.000, 0.000, 0.000], [0.250, 0.750, 0.500], [0.750, 0.250, 0.500], [0.500, 0.500, 0.000], [0.190, 0.500, 0.690], [0.265, 0.265, 0.000], [0.500, 0.190, 0.690], [0.500, 0.810, 0.310], [0.735, 0.735, 0.000], [0.810, 0.500, 0.310]]}

(3)
{"formula": "TaNb2BiOs", "functional": "SCAN", "state": "PBEsol geometry", "formation_energy_mev_per_atom": 1495.6, "magnetic_moment_mub_per_cell": 0.00, "lattice": [[4.827, 0.000, 0.000], [0.000, 4.827, 0.000], [0.000, 0.000, 4.969]], "species": ["Ta", "Nb", "Nb", "Bi", "Os"], "frac_coords": [[0.000, 0.000, 0.000], [0.000, 0.500, 0.500], [0.500, 0.000, 0.500], [0.500, 0.500, 0.000], [0.500, 0.500, 0.500]]}

(4)
{"formula": "BaCd2Pt", "functional": "SCAN", "state": "PBEsol geometry", "formation_energy_mev_per_atom": -531.0, "magnetic_moment_mub_per_cell": 0.00, "lattice": [[4.749, 0.000, 0.000], [-2.375, 4.113, 0.000], [0.000, 0.000, 16.643]], "species": ["Ba", "Ba", "Ba", "Cd", "Cd", "Cd", "Cd", "Cd", "Cd", "Pt", "Pt", "Pt"], "frac_coords": [[0.000, 0.000, 0.000], [0.333, 0.667, 0.667], [0.667, 0.333, 0.333], [0.000, 0.000, 0.526], [0.000, 0.000, 0.801], [0.333, 0.667, 0.193], [0.333, 0.667, 0.468], [0.667, 0.333, 0.135], [0.667, 0.333, 0.859], [0.000, 0.000, 0.194], [0.333, 0.667, 0.860], [0.667, 0.333, 0.527]]}

(5)
{"formula": "LiMnNi2", "functional": "SCAN", "state": "PBEsol geometry", "formation_energy_mev_per_atom": 45.7, "magnetic_moment_mub_per_cell": 4.40, "lattice": [[2.446, 0.000, 0.000], [0.000, 2.446, 0.000], [0.000, 0.000, 7.220]], "species": ["Li", "Mn", "Ni", "Ni"], "frac_coords": [[0.000, 0.000, 0.000], [0.000, 0.000, 0.500], [0.500, 0.500, 0.269], [0.500, 0.500, 0.731]]}

(6)
{"formula": "Ce2ZrSe5", "functional": "SCAN", "state": "PBEsol geometry", "magnetic_moment_mub_per_cell": 8.01, "energy_ev_per_atom": -29.429, "lattice": [[11.573, 0.000, 0.000], [0.000, 8.402, 0.000], [0.000, 0.000, 7.509]], "species": ["Ce", "Ce", "Ce", "Ce", "Ce", "Ce", "Ce", "Ce", "Zr", "Zr", "Zr", "Zr", "Se", "Se", "Se", "Se", "Se", "Se", "Se", "Se", "Se", "Se", "Se", "Se", "Se", "Se", "Se", "Se", "Se", "Se", "Se", "Se"], "frac_coords": [[0.172, 0.001, 0.063], [0.172, 0.499, 0.063], [0.328, 0.501, 0.563], [0.328, 0.999, 0.563], [0.672, 0.001, 0.437], [0.672, 0.499, 0.437], [0.828, 0.501, 0.937], [0.828, 0.999, 0.937], [0.011, 0.750, 0.578], [0.489, 0.250, 0.078], [0.511, 0.750, 0.922], [0.989, 0.250, 0.422], [0.004, 0.750, 0.950], [0.074, 0.040, 0.684], [0.074, 0.460, 0.684], [0.196, 0.750, 0.355], [0.215, 0.250, 0.339], [0.285, 0.750, 0.839], [0.304, 0.250, 0.855], [0.426, 0.540, 0.184], [0.426, 0.960, 0.184], [0.496, 0.250, 0.450], [0.504, 0.750, 0.550], [0.574, 0.040, 0.816], [0.574, 0.460, 0.816], [0.696, 0.750, 0.145], [0.715, 0.250, 0.161], [0.785, 0.750, 0.661], [0.804, 0.250, 0.645], [0.926, 0.540, 0.316], [0.926, 0.960, 0.316], [0.996, 0.250, 0.050]]}